Entry 1:
A plane-wave DFT calculation with PBE was carried out for RbSiSn after structural relaxation.

a b c (Å): 4.459 7.586 7.586
angles (deg): 122.95 90.00 90.00
Sites, in units of the cell vectors:
Rb (0.000, 0.155, 0.845)
Rb (0.000, 0.845, 0.155)
Si (0.000, 0.422, 0.422)
Si (0.500, 0.259, 0.259)
Sn (0.500, 0.466, 0.686)
Sn (0.500, 0.686, 0.466)

Volume in A^3/atom: 35.89
Space-group type: Amm2 (38)
Final energy in eV per atom: -3.45
Energy relative to the elements, uncorrected in eV/atom: 0.013
Polymorph energy (0 for the lowest one) in meV per atom: 16

***

Entry 2:
A plane-wave DFT calculation with PBE was carried out for RbSiSn after structural relaxation.

a b c (Å): 4.149 7.470 8.017
angles (deg): 117.09 103.99 92.13
Sites, in units of the cell vectors:
Rb (0.000, 0.000, 0.000)
Rb (0.291, 0.290, 0.588)
Si (0.623, 0.820, 0.295)
Si (0.660, 0.482, 0.293)
Sn (0.057, 0.531, 0.065)
Sn (0.289, 0.756, 0.523)

Volume in A^3/atom: 35.25
Space-group type: P1 (1)
Final energy in eV per atom: -3.43
Energy relative to the elements, uncorrected in eV/atom: 0.032
Polymorph energy (0 for the lowest one) in meV per atom: 35

***

Entry 3:
A plane-wave DFT calculation with PBE was carried out for RbSiSn2 after structural relaxation.

a b c (Å): 10.025 10.025 10.025
angles (deg): 145.75 145.75 49.22
Sites, in units of the cell vectors:
Rb (0.375, 0.625, 0.750)
Rb (0.625, 0.375, 0.250)
Si (0.125, 0.875, 0.250)
Si (0.875, 0.125, 0.750)
Sn (0.000, 0.000, 0.000)
Sn (0.000, 0.000, 0.500)
Sn (0.000, 0.500, 0.000)
Sn (0.500, 0.000, 0.500)

Volume in A^3/atom: 39.71
Space-group type: I4_1/amd (141)
Final energy in eV per atom: -3.41
Energy relative to the elements, uncorrected in eV/atom: 0.191

***

Entry 4:
A plane-wave DFT calculation with PBE was carried out for RbSiSn after structural relaxation.

a b c (Å): 5.723 6.117 6.396
angles (deg): 71.60 73.18 83.43
Sites, in units of the cell vectors:
Rb (0.203, 0.198, 0.033)
Rb (0.797, 0.802, 0.967)
Si (0.206, 0.552, 0.415)
Si (0.794, 0.448, 0.585)
Sn (0.431, 0.758, 0.609)
Sn (0.569, 0.242, 0.391)

Volume in A^3/atom: 33.88
Space-group type: P-1 (2)
Final energy in eV per atom: -3.45
Energy relative to the elements, uncorrected in eV/atom: 0.019
Polymorph energy (0 for the lowest one) in meV per atom: 22

***

Entry 5:
A plane-wave DFT calculation with PBE was carried out for RbSiSn after structural relaxation.

a b c (Å): 4.743 4.743 12.607
angles (deg): 90.41 90.33 119.99
Sites, in units of the cell vectors:
Rb (0.000, 0.000, 0.000)
Rb (0.020, 0.022, 0.617)
Si (0.340, 0.673, 0.182)
Si (0.346, 0.680, 0.375)
Sn (0.674, 0.341, 0.207)
Sn (0.681, 0.348, 0.434)

Volume in A^3/atom: 40.93
Space-group type: P1 (1)
Final energy in eV per atom: -3.38
Energy relative to the elements, uncorrected in eV/atom: 0.081
Polymorph energy (0 for the lowest one) in meV per atom: 84

***

Entry 6:
A plane-wave DFT calculation with PBE was carried out for RbSiSnTe4 after structural relaxation.

a b c (Å): 7.092 7.487 10.284
angles (deg): 90.00 108.98 90.00
Sites, in units of the cell vectors:
Rb (0.181, 0.250, 0.443)
Rb (0.819, 0.750, 0.557)
Si (0.127, 0.250, 0.829)
Si (0.873, 0.750, 0.171)
Sn (0.318, 0.750, 0.050)
Sn (0.682, 0.250, 0.950)
Te (0.137, 0.250, 0.076)
Te (0.222, 0.750, 0.334)
Te (0.331, 0.512, 0.788)
Te (0.331, 0.988, 0.788)
Te (0.669, 0.012, 0.212)
Te (0.669, 0.488, 0.212)
Te (0.778, 0.250, 0.666)
Te (0.863, 0.750, 0.924)

Volume in A^3/atom: 36.89
Space-group type: P2_1/m (11)
Final energy in eV per atom: -3.61
Energy relative to the elements, uncorrected in eV/atom: -0.325